<a>
First-principles (PBE) data for an optimized crystal structure of TbDy2Co, as listed in Alexandria.

Lattice parameters (Å, degrees): 6.940 9.444 6.239 90.00 90.00 90.00
Atoms (fractional coordinates):
1 Tb 0.043 0.250 0.142
2 Tb 0.457 0.750 0.642
3 Tb 0.543 0.250 0.358
4 Tb 0.957 0.750 0.858
5 Dy 0.174 0.068 0.677
6 Dy 0.174 0.432 0.677
7 Dy 0.326 0.568 0.177
8 Dy 0.326 0.932 0.177
9 Dy 0.674 0.068 0.823
10 Dy 0.674 0.432 0.823
11 Dy 0.826 0.568 0.323
12 Dy 0.826 0.932 0.323
13 Co 0.113 0.750 0.449
14 Co 0.387 0.250 0.949
15 Co 0.613 0.750 0.051
16 Co 0.887 0.250 0.551

Values from the calculation:
- Symmetry: Pnma


<b>
First-principles (PBE) data for an optimized crystal structure of TbDy2Co, as listed in Alexandria.

Lattice parameters (Å, degrees): 6.245 6.245 9.401 90.00 90.00 145.87
Atoms (fractional coordinates):
1 Tb 0.085 0.915 0.750
2 Tb 0.915 0.085 0.250
3 Dy 0.359 0.641 0.572
4 Dy 0.359 0.641 0.928
5 Dy 0.641 0.359 0.072
6 Dy 0.641 0.359 0.428
7 Co 0.245 0.755 0.250
8 Co 0.755 0.245 0.750

Values from the calculation:
- Symmetry: Cmcm


<c>
First-principles (PBE) data for an optimized crystal structure of TbDy2Co, as listed in Alexandria.

Lattice parameters (Å, degrees): 10.523 10.523 10.523 19.58 19.58 19.58
Atoms (fractional coordinates):
1 Tb 0.000 0.000 0.000
2 Dy 0.114 0.114 0.114
3 Dy 0.886 0.886 0.886
4 Co 0.500 0.500 0.500

Values from the calculation:
- Symmetry: R-3m


Question: which arrangement is favored energetically? Ranking from most to least stable: <a>, <b>, <c>.


<a>
First-principles (PBE) data for an optimized crystal structure of TbDy2Co, as listed in Alexandria.

Lattice parameters (Å, degrees): 9.213 9.213 9.213 23.51 23.51 23.51
Atoms (fractional coordinates):
1 Tb 0.000 0.000 0.000
2 Dy 0.555 0.555 0.555
3 Dy 0.775 0.775 0.775
4 Co 0.165 0.165 0.165

Values from the calculation:
- Symmetry: R3m


<b>
First-principles (PBE) data for an optimized crystal structure of TbDy2Co, as listed in Alexandria.

Lattice parameters (Å, degrees): 3.395 3.395 8.844 90.00 90.00 90.00
Atoms (fractional coordinates):
1 Tb 0.000 0.000 0.000
2 Dy 0.500 0.500 0.317
3 Dy 0.500 0.500 0.683
4 Co 0.000 0.000 0.500

Values from the calculation:
- Symmetry: P4/mmm


Question: which arrangement is favored energetically? Ranking from most to least stable: <b>, <a>.


<a>
First-principles (PBE) data for an optimized crystal structure of Tb2DyCo, as listed in Alexandria.

Lattice parameters (Å, degrees): 3.414 3.414 8.828 90.00 90.00 90.00
Atoms (fractional coordinates):
1 Tb 0.000 0.000 0.184
2 Tb 0.000 0.000 0.816
3 Dy 0.500 0.500 0.500
4 Co 0.500 0.500 0.000

Values from the calculation:
- Symmetry: P4/mmm


<b>
First-principles (PBE) data for an optimized crystal structure of Tb2DyCo, as listed in Alexandria.

Lattice parameters (Å, degrees): 10.541 10.541 10.541 19.56 19.56 19.56
Atoms (fractional coordinates):
1 Tb 0.113 0.113 0.113
2 Tb 0.887 0.887 0.887
3 Dy 0.000 0.000 0.000
4 Co 0.500 0.500 0.500

Values from the calculation:
- Symmetry: R-3m


Question: which arrangement is favored energetically? Ranking from most to least stable: <a>, <b>.


<a>
First-principles (PBE) data for an optimized crystal structure of TbDy3Co, as listed in Alexandria.

Lattice parameters (Å, degrees): 5.273 5.273 5.273 90.00 90.00 90.00
Atoms (fractional coordinates):
1 Tb 0.000 0.000 0.000
2 Dy 0.000 0.500 0.500
3 Dy 0.500 0.000 0.500
4 Dy 0.500 0.500 0.000
5 Co 0.500 0.500 0.500

Values from the calculation:
- Symmetry: Pm-3m


<b>
First-principles (PBE) data for an optimized crystal structure of TbDy3Co, as listed in Alexandria.

Lattice parameters (Å, degrees): 7.767 7.292 9.957 90.00 107.31 90.00
Atoms (fractional coordinates):
1 Tb 0.186 0.055 0.255
2 Tb 0.186 0.445 0.755
3 Tb 0.814 0.555 0.245
4 Tb 0.814 0.945 0.745
5 Dy 0.085 0.703 0.032
6 Dy 0.085 0.797 0.532
7 Dy 0.290 0.506 0.383
8 Dy 0.290 0.994 0.883
9 Dy 0.419 0.128 0.609
10 Dy 0.419 0.372 0.109
11 Dy 0.581 0.628 0.891
12 Dy 0.581 0.872 0.391
13 Dy 0.710 0.006 0.117
14 Dy 0.710 0.494 0.617
15 Dy 0.915 0.203 0.468
16 Dy 0.915 0.297 0.968
17 Co 0.453 0.746 0.607
18 Co 0.453 0.754 0.107
19 Co 0.547 0.246 0.893
20 Co 0.547 0.254 0.393

Values from the calculation:
- Symmetry: P2_1/c


Question: which arrangement is favored energetically? Ranking from most to least stable: <b>, <a>.